4
Lattice="1.632 0.942 7.854 -1.632 0.942 7.854 0.000 -1.885 7.854" Properties=species:S:1:pos:R:3 comment="Zr2BeMo (PBE, relaxed)" magmom_total_mub_per_cell=0.00 formation_energy_mev_per_atom=247.5 energy_ev_per_atom=-7.666 pbc="T T T"
Zr 0.000 0.000 0.000
Zr 0.000 0.000 5.187
Be 0.000 0.000 11.285
Mo 0.000 0.000 17.816



4
Lattice="3.802 0.000 0.000 0.000 3.802 0.000 0.000 0.000 4.400" Properties=species:S:1:pos:R:3 comment="ZrBeMo2 (PBE, relaxed)" magmom_total_mub_per_cell=0.00 formation_energy_mev_per_atom=103.6 energy_ev_per_atom=-8.381 pbc="T T T"
Zr 0.000 0.000 0.000
Be 1.901 1.901 0.000
Mo 0.000 1.901 2.200
Mo 1.901 0.000 2.200



4
Lattice="3.389 0.000 0.000 0.000 3.389 0.000 0.000 0.000 5.096" Properties=species:S:1:pos:R:3 comment="ZrBe2Mo (PBE, relaxed)" magmom_total_mub_per_cell=0.00 relative_energy_mev_per_atom=425 formation_energy_mev_per_atom=335.6 energy_ev_per_atom=-6.372 pbc="T T T"
Zr 0.000 0.000 0.000
Be 0.000 0.000 2.590
Be 1.694 1.694 1.147
Mo 1.694 1.694 3.533



4
Lattice="4.253 -1.704 0.000 4.253 1.704 0.000 -1.615 0.000 4.426" Properties=species:S:1:pos:R:3 comment="ZrBeMo2 (PBE, relaxed)" magmom_total_mub_per_cell=0.00 formation_energy_mev_per_atom=159.5 energy_ev_per_atom=-8.325 pbc="T T T"
Zr 0.000 0.000 0.000
Be 0.979 0.000 3.132
Mo 3.564 0.000 2.394
Mo 6.110 0.000 1.278



4
Lattice="2.736 -4.445 0.000 2.736 4.445 0.000 0.000 0.000 2.672" Properties=species:S:1:pos:R:3 comment="ZrBeMo2 (PBE, relaxed)" magmom_total_mub_per_cell=0.00 formation_energy_mev_per_atom=364.6 energy_ev_per_atom=-8.120 pbc="T T T"
Zr 0.000 0.000 0.000
Be 2.736 0.000 0.000
Mo 1.368 2.222 1.336
Mo 1.368 -2.222 1.336



8
Lattice="-1.874 1.874 9.613 1.874 -1.874 9.613 1.874 1.874 -9.613" Properties=species:S:1:pos:R:3 comment="ZrBeMo2 (PBE, relaxed)" magmom_total_mub_per_cell=0.00 formation_energy_mev_per_atom=521.8 energy_ev_per_atom=-7.962 pbc="T T T"
Zr 0.000 0.000 0.000
Zr 0.000 1.874 4.807
Be 1.874 0.000 4.807
Be 0.000 0.000 9.613
Mo 0.937 0.994 -2.403
Mo 2.754 0.937 2.403
Mo 0.937 0.880 7.210
Mo -0.880 0.937 12.016